Record 1
Rb4NbSe4 after structural relaxation, computed with PBE.

Properties
Its uncorrected formation energy is -0.98 eV per atom.

a b c (Å): 8.813 8.813 8.813
angles (deg): 124.90 124.90 81.70
Atoms (fractional coordinates):
Rb  0.000  0.500  0.500
Rb  0.194  0.194  0.000
Rb  0.500  0.000  0.500
Rb  0.806  0.806  0.000
Nb  0.500  0.500  0.000
Se  0.216  0.216  0.645
Se  0.429  0.784  0.000
Se  0.571  0.571  0.355
Se  0.784  0.429  0.000

---

Record 2
Rb2Nb2Se7 after structural relaxation, computed with PBE.

Properties
Its uncorrected formation energy is -0.60 eV per atom.

a b c (Å): 6.206 6.206 8.545
angles (deg): 90.00 90.00 97.30
Atoms (fractional coordinates):
Rb  0.226  0.226  0.000
Rb  0.774  0.774  0.000
Nb  0.273  0.727  0.500
Nb  0.727  0.273  0.500
Se  0.000  0.000  0.500
Se  0.000  0.500  0.297
Se  0.000  0.500  0.703
Se  0.500  0.000  0.297
Se  0.500  0.000  0.703
Se  0.500  0.500  0.312
Se  0.500  0.500  0.688

---

Record 3
Rb2NbSe8 after structural relaxation, computed with PBE.

Properties
Its uncorrected formation energy is -0.52 eV per atom.

a b c (Å): 6.497 8.283 8.395
angles (deg): 67.85 77.70 81.01
Atoms (fractional coordinates):
Rb  0.205  0.230  0.166
Rb  0.795  0.770  0.834
Nb  0.500  0.500  0.500
Se  0.145  0.521  0.385
Se  0.342  0.577  0.760
Se  0.349  0.995  0.616
Se  0.417  0.190  0.743
Se  0.583  0.810  0.257
Se  0.651  0.005  0.384
Se  0.658  0.423  0.240
Se  0.855  0.479  0.615

---

Record 4
Rb3Tb3NbSe8 after structural relaxation, computed with PBE.

Properties
Its uncorrected formation energy is -1.50 eV per atom.

a b c (Å): 9.465 9.465 9.465
angles (deg): 51.53 51.53 51.53
Atoms (fractional coordinates):
Rb  0.000  0.500  0.500
Rb  0.500  0.000  0.500
Rb  0.500  0.500  0.000
Tb  0.000  0.000  0.500
Tb  0.000  0.500  0.000
Tb  0.500  0.000  0.000
Nb  0.500  0.500  0.500
Se  0.233  0.233  0.233
Se  0.250  0.718  0.718
Se  0.282  0.282  0.750
Se  0.282  0.750  0.282
Se  0.718  0.250  0.718
Se  0.718  0.718  0.250
Se  0.750  0.282  0.282
Se  0.767  0.767  0.767

---

Record 5
Rb2NbTlSe4 after structural relaxation, computed with PBE.

Properties
Its uncorrected formation energy is -0.86 eV per atom.

a b c (Å): 14.507 13.341 7.810
angles (deg): 82.13 65.64 32.23
Atoms (fractional coordinates):
Rb  0.062  0.062  0.688
Rb  0.312  0.312  0.938
Rb  0.688  0.688  0.062
Rb  0.938  0.938  0.312
Nb  0.375  0.375  0.375
Nb  0.625  0.625  0.625
Tl  0.125  0.125  0.125
Tl  0.875  0.875  0.875
Se  0.029  0.614  0.518
Se  0.339  0.518  0.614
Se  0.386  0.971  0.661
Se  0.482  0.661  0.971
Se  0.518  0.339  0.029
Se  0.614  0.029  0.339
Se  0.661  0.482  0.386
Se  0.971  0.386  0.482

---

Record 6
Rb3NbTl2Se6 after structural relaxation, computed with PBE.

Properties
Its uncorrected formation energy is -0.76 eV per atom.

a b c (Å): 7.433 7.433 8.168
angles (deg): 98.70 98.70 119.97
Atoms (fractional coordinates):
Rb  0.000  0.000  0.000
Rb  0.322  0.678  0.000
Rb  0.678  0.322  0.000
Nb  0.500  0.500  0.500
Tl  0.165  0.835  0.500
Tl  0.835  0.165  0.500
Se  0.143  0.436  0.310
Se  0.275  0.275  0.695
Se  0.436  0.143  0.310
Se  0.564  0.857  0.690
Se  0.725  0.725  0.305
Se  0.857  0.564  0.690

---

Record 7
RbNb2ZnSe after structural relaxation, computed with PBE.

Properties
Its uncorrected formation energy is 2.49 eV per atom.

a b c (Å): 4.895 4.895 5.598
angles (deg): 90.00 90.00 90.00
Atoms (fractional coordinates):
Rb  0.000  0.000  0.000
Nb  0.000  0.500  0.000
Nb  0.500  0.000  0.000
Zn  0.500  0.500  0.500
Se  0.000  0.000  0.500

---

Record 8
RbNb2Si after structural relaxation, computed with PBE.

Properties
Its uncorrected formation energy is 1.12 eV per atom.

a b c (Å): 10.099 10.099 10.099
angles (deg): 151.69 151.69 40.47
Atoms (fractional coordinates):
Rb  0.000  0.000  0.000
Rb  0.750  0.250  0.500
Nb  0.325  0.625  0.200
Nb  0.375  0.575  0.700
Nb  0.425  0.125  0.800
Nb  0.875  0.675  0.300
Si  0.250  0.750  0.500
Si  0.500  0.500  0.000

---

Record 9
Rb2NbSi after structural relaxation, computed with PBE.

Properties
Its uncorrected formation energy is 0.87 eV per atom.

a b c (Å): 9.779 9.779 9.779
angles (deg): 93.70 93.70 150.57
Atoms (fractional coordinates):
Rb  0.375  0.192  0.317
Rb  0.808  0.125  0.183
Rb  0.875  0.058  0.683
Rb  0.942  0.625  0.817
Nb  0.250  0.750  0.500
Nb  0.500  0.500  0.000
Si  0.000  0.000  0.000
Si  0.750  0.250  0.500

---

Record 10
Rb2NbSiTc after structural relaxation, computed with PBE.

Properties
Its uncorrected formation energy is 1.72 eV per atom.

a b c (Å): 6.932 6.932 4.516
angles (deg): 90.00 90.00 90.00
Atoms (fractional coordinates):
Rb  0.000  0.500  0.000
Rb  0.500  0.000  0.000
Nb  0.000  0.000  0.000
Si  0.500  0.500  0.500
Tc  0.000  0.000  0.500

---

Record 11
RbNbSi2Te8 after structural relaxation, computed with PBE.

Properties
Its uncorrected formation energy is -0.16 eV per atom.

a b c (Å): 9.974 9.974 9.974
angles (deg): 41.49 41.49 41.49
Atoms (fractional coordinates):
Rb  0.000  0.000  0.000
Nb  0.500  0.500  0.500
Si  0.250  0.250  0.250
Si  0.750  0.750  0.750
Te  0.117  0.431  0.799
Te  0.201  0.883  0.569
Te  0.342  0.342  0.342
Te  0.431  0.799  0.117
Te  0.569  0.201  0.883
Te  0.658  0.658  0.658
Te  0.799  0.117  0.431
Te  0.883  0.569  0.201

---

Record 12
RbTiNbSi2 after structural relaxation, computed with PBE.

Properties
Its uncorrected formation energy is 1.52 eV per atom.

a b c (Å): 4.815 4.815 4.997
angles (deg): 90.00 90.00 90.00
Atoms (fractional coordinates):
Rb  0.000  0.000  0.000
Ti  0.000  0.000  0.500
Nb  0.500  0.500  0.000
Si  0.000  0.500  0.500
Si  0.500  0.000  0.500

---

Record 13
Rb2NbTlSi after structural relaxation, computed with PBE.

Properties
Its uncorrected formation energy is 0.90 eV per atom.

a b c (Å): 6.785 6.785 4.966
angles (deg): 90.00 90.00 90.00
Atoms (fractional coordinates):
Rb  0.000  0.500  0.000
Rb  0.500  0.000  0.000
Nb  0.000  0.000  0.000
Tl  0.500  0.500  0.500
Si  0.000  0.000  0.500

---

Record 14
RbY2NbSi after structural relaxation, computed with PBE.

Properties
Its uncorrected formation energy is 1.97 eV per atom.

a b c (Å): 5.299 5.299 4.878
angles (deg): 90.00 90.00 90.00
Atoms (fractional coordinates):
Rb  0.000  0.000  0.000
Y  0.000  0.500  0.000
Y  0.500  0.000  0.000
Nb  0.000  0.000  0.500
Si  0.500  0.500  0.500

---

Record 15
RbNbSn3 after structural relaxation, computed with PBE.

Properties
For the energy of formation from the pure elements, the calculation gives 10.514 eV per formula unit.

a b c (Å): 5.705 5.705 5.705
angles (deg): 90.00 90.00 90.00
Atoms (fractional coordinates):
Rb  0.000  0.000  0.000
Nb  0.500  0.500  0.500
Sn  0.000  0.000  0.500
Sn  0.000  0.500  0.000
Sn  0.500  0.000  0.000

---

Record 16
RbNb3Sn after structural relaxation, computed with PBE.

Properties
For the energy of formation from the pure elements, the calculation gives 9.112 eV per formula unit.

a b c (Å): 5.284 5.284 5.284
angles (deg): 90.00 90.00 90.00
Atoms (fractional coordinates):
Rb  0.000  0.000  0.000
Nb  0.000  0.500  0.500
Nb  0.500  0.000  0.500
Nb  0.500  0.500  0.000
Sn  0.500  0.500  0.500

---

Record 17
Rb3NbSn after structural relaxation, computed with PBE.

Properties
For the energy of formation from the pure elements, the calculation gives 6.375 eV per formula unit.

a b c (Å): 6.853 6.853 6.853
angles (deg): 90.00 90.00 90.00
Atoms (fractional coordinates):
Rb  0.000  0.000  0.500
Rb  0.000  0.500  0.000
Rb  0.500  0.000  0.000
Nb  0.000  0.000  0.000
Sn  0.500  0.500  0.500

---

Record 18
RbNb3Sn after structural relaxation, computed with PBE.

Properties
For the energy of formation from the pure elements, the calculation gives 12.423 eV per formula unit.

a b c (Å): 4.838 4.838 4.838
angles (deg): 90.00 90.00 90.00
Atoms (fractional coordinates):
Rb  0.000  0.000  0.000
Nb  0.000  0.000  0.500
Nb  0.000  0.500  0.000
Nb  0.500  0.000  0.000
Sn  0.500  0.500  0.500

---

Record 19
RbNbSn3 after structural relaxation, computed with PBE.

Properties
For the energy of formation from the pure elements, the calculation gives -0.100 eV per formula unit.

a b c (Å): 5.469 5.469 5.469
angles (deg): 90.00 90.00 90.00
Atoms (fractional coordinates):
Rb  0.000  0.000  0.000
Nb  0.500  0.500  0.500
Sn  0.000  0.500  0.500
Sn  0.500  0.000  0.500
Sn  0.500  0.500  0.000

---

Record 20
RbNb2Sn after structural relaxation, computed with PBE.

Properties
For the energy of formation from the pure elements, the calculation gives 5.720 eV per formula unit.

a b c (Å): 6.673 6.673 6.673
angles (deg): 101.68 101.68 126.53
Atoms (fractional coordinates):
Rb  0.000  0.000  0.000
Rb  0.750  0.250  0.500
Nb  0.170  0.625  0.045
Nb  0.375  0.420  0.545
Nb  0.580  0.125  0.955
Nb  0.875  0.830  0.455
Sn  0.250  0.750  0.500
Sn  0.500  0.500  0.000

---

In order of appearance, electronic total energy = -4.08 -4.83 -4.14 -5.15 -4.40 -3.98 -2.68 -5.51 -3.49 -3.84 -4.08 -4.44 -3.06 -3.91 -2.51 -5.21 -2.12 -4.55 -4.63 -4.85 eV/atom.
In order of appearance, theoretical density = 2.81 4.63 3.65 5.04 3.94 5.49 5.15 4.30 2.18 2.98 5.30 4.05 3.60 4.66 4.78 5.44 2.41 7.08 5.42 6.07 Mg/m³.